First-principles (PBE+U) data for a geometry-optimized Na2LiMnPCO7 structure, as listed in Alexandria.

- Space-group type: P2_1/m, No. 11
- M_tot: 10.0 Bohr magnetons per cell
- Final energy: -87.38 eV/f.u.
- Energy relative to the lowest polymorph listed for this composition: 0.060 eV/f.u.

abc: 6.8712 5.3103 8.8681
angles: 85.31 90.00 90.00
Last column: nearest neighbours and their distance in Å.
Atoms (fractional coordinates):
O 0.2500 0.9260 0.9314  1 P 1.56
O 0.7500 0.4961 0.5981  1 C 1.31
Na 0.9964 0.7908 0.7514  4 O 2.29-2.51
Na 0.5036 0.7908 0.7514  4 O 2.29-2.51
Li 0.2500 0.3861 0.6272  4 O 2.04-2.08
C 0.7500 0.2643 0.5577  3 O 1.29-1.31
Na 0.0036 0.2092 0.2486  4 O 2.29-2.51
O 0.5702 0.6862 0.1862  1 P 1.56
O 0.2500 0.5039 0.4019  1 C 1.31
O 0.7500 0.0740 0.0686  1 P 1.56
O 0.4298 0.3138 0.8138  1 P 1.56
P 0.2500 0.2208 0.9106  4 O 1.55-1.56
O 0.0702 0.3138 0.8138  1 P 1.56
P 0.7500 0.7792 0.0894  4 O 1.55-1.56
Na 0.4964 0.2092 0.2486  4 O 2.29-2.51
Mn 0.7500 0.2995 0.8598  5 O 2.12-2.24
O 0.2500 0.9235 0.3390  1 C 1.30
O 0.9298 0.6862 0.1862  1 P 1.56
C 0.2500 0.7357 0.4423  3 O 1.29-1.31
Li 0.7500 0.6139 0.3728  4 O 2.04-2.08
O 0.7500 0.2285 0.4150  1 C 1.29
Mn 0.2500 0.7005 0.1402  5 O 2.12-2.24
O 0.7500 0.0765 0.6610  1 C 1.30
O 0.2500 0.7715 0.5850  1 C 1.29
O 0.2500 0.3257 0.0687  1 P 1.55
O 0.7500 0.6743 0.9313  1 P 1.55